RbPuTiO4 after structural relaxation, computed with PBE-GGA.

Values from the calculation:
* final energy: -123.53 eV/cell
* Fermi-level density of states: 1.43 states/eV per atom

Unit cell a=5.912 b=6.044 c=8.326 alpha=90.00 beta=110.63 gamma=90.00
Atoms (fractional coordinates):
Rb1 0.046 0.250 0.137
Rb2 0.954 0.750 0.863
Pu1 0.171 0.750 0.464
Pu2 0.829 0.250 0.536
Ti1 0.399 0.250 0.669
Ti2 0.601 0.750 0.331
O1 0.189 0.017 0.668
O2 0.189 0.483 0.668
O3 0.274 0.750 0.213
O4 0.413 0.250 0.456
O5 0.587 0.750 0.544
O6 0.726 0.250 0.787
O7 0.811 0.517 0.332
O8 0.811 0.983 0.332

***

Rb2Pu3TiO12 after structural relaxation, computed with PBE-GGA.

Values from the calculation:
* final energy: -157.61 eV/cell
* Fermi-level density of states: 0.63 states/eV per atom

Unit cell a=7.479 b=7.479 c=7.479 alpha=62.95 beta=62.95 gamma=62.95
Atoms (fractional coordinates):
Rb1 0.133 0.133 0.133
Rb2 0.867 0.867 0.867
Pu1 0.000 0.500 0.500
Pu2 0.500 0.000 0.500
Pu3 0.500 0.500 0.000
Ti1 0.500 0.500 0.500
O1 0.177 0.177 0.559
O2 0.177 0.559 0.177
O3 0.197 0.560 0.560
O4 0.440 0.440 0.803
O5 0.440 0.803 0.440
O6 0.441 0.823 0.823
O7 0.559 0.177 0.177
O8 0.560 0.197 0.560
O9 0.560 0.560 0.197
O10 0.803 0.440 0.440
O11 0.823 0.441 0.823
O12 0.823 0.823 0.441

***

RbPuTiO6 after structural relaxation, computed with PBE-GGA.

Values from the calculation:
* final energy: -150.60 eV/cell

Unit cell a=5.397 b=5.397 c=12.629 alpha=90.00 beta=90.00 gamma=120.00
Atoms (fractional coordinates):
Rb1 0.000 0.000 0.000
Rb2 0.000 0.000 0.500
Pu1 0.333 0.667 0.250
Pu2 0.667 0.333 0.750
Ti1 0.333 0.667 0.750
Ti2 0.667 0.333 0.250
O1 0.004 0.384 0.664
O2 0.004 0.619 0.836
O3 0.381 0.384 0.836
O4 0.381 0.996 0.664
O5 0.384 0.004 0.164
O6 0.384 0.381 0.336
O7 0.616 0.619 0.664
O8 0.616 0.996 0.836
O9 0.619 0.004 0.336
O10 0.619 0.616 0.164
O11 0.996 0.381 0.164
O12 0.996 0.616 0.336

***

RbPu2TiO8 after structural relaxation, computed with PBE-GGA.

Values from the calculation:
* final energy: -104.09 eV/cell
* Fermi-level density of states: 0.96 states/eV per atom

Unit cell a=6.064 b=6.064 c=7.542 alpha=90.00 beta=90.00 gamma=120.00
Atoms (fractional coordinates):
Rb1 0.000 0.000 0.000
Pu1 0.333 0.667 0.251
Pu2 0.667 0.333 0.749
Ti1 0.000 0.000 0.500
O1 0.152 0.305 0.347
O2 0.152 0.848 0.347
O3 0.305 0.152 0.653
O4 0.333 0.667 0.001
O5 0.667 0.333 0.999
O6 0.695 0.848 0.347
O7 0.848 0.152 0.653
O8 0.848 0.695 0.653

***

Rb3Pu2TlO9 after structural relaxation, computed with PBE-GGA.

Values from the calculation:
* final energy: -109.16 eV/cell

Unit cell a=6.278 b=6.278 c=7.915 alpha=90.00 beta=90.00 gamma=120.00
Atoms (fractional coordinates):
Rb1 0.000 0.000 0.000
Rb2 0.333 0.667 0.654
Rb3 0.667 0.333 0.346
Pu1 0.333 0.667 0.147
Pu2 0.667 0.333 0.853
Tl1 0.000 0.000 0.500
O1 0.000 0.500 0.000
O2 0.188 0.377 0.290
O3 0.188 0.812 0.290
O4 0.377 0.188 0.710
O5 0.500 0.000 0.000
O6 0.500 0.500 0.000
O7 0.623 0.812 0.290
O8 0.812 0.188 0.710
O9 0.812 0.623 0.710

***

Rb2PuTl2O6 after structural relaxation, computed with PBE-GGA.

Values from the calculation:
* final energy: -68.41 eV/cell
* Fermi-level density of states: 0.01 states/eV per atom

Unit cell a=6.446 b=6.446 c=6.801 alpha=101.87 beta=101.87 gamma=112.68
Atoms (fractional coordinates):
Rb1 0.191 0.809 0.000
Rb2 0.809 0.191 0.000
Pu1 0.000 0.000 0.500
Tl1 0.341 0.659 0.500
Tl2 0.659 0.341 0.500
O1 0.043 0.315 0.679
O2 0.150 0.150 0.310
O3 0.315 0.043 0.679
O4 0.685 0.957 0.321
O5 0.850 0.850 0.690
O6 0.957 0.685 0.321

***

Rb4Pu3TlO12 after structural relaxation, computed with PBE-GGA.

Values from the calculation:
* final energy: -153.02 eV/cell
* Fermi-level density of states: 0.39 states/eV per atom

Unit cell a=7.691 b=7.691 c=7.691 alpha=109.47 beta=109.47 gamma=109.47
Atoms (fractional coordinates):
Rb1 0.000 0.000 0.500
Rb2 0.000 0.500 0.000
Rb3 0.500 0.000 0.000
Rb4 0.500 0.500 0.500
Pu1 0.000 0.500 0.500
Pu2 0.500 0.000 0.500
Pu3 0.500 0.500 0.000
Tl1 0.000 0.000 0.000
O1 0.000 0.290 0.290
O2 0.000 0.710 0.710
O3 0.250 0.500 0.750
O4 0.250 0.750 0.500
O5 0.290 0.000 0.290
O6 0.290 0.290 0.000
O7 0.500 0.250 0.750
O8 0.500 0.750 0.250
O9 0.710 0.000 0.710
O10 0.710 0.710 0.000
O11 0.750 0.250 0.500
O12 0.750 0.500 0.250

***

Rb2PuTlO4 after structural relaxation, computed with PBE-GGA.

Values from the calculation:
* final energy: -53.52 eV/cell
* Fermi-level density of states: 0.60 states/eV per atom

Unit cell a=6.880 b=3.598 c=6.969 alpha=90.00 beta=112.09 gamma=90.00
Atoms (fractional coordinates):
Rb1 0.000 0.000 0.000
Rb2 0.500 0.500 0.000
Pu1 0.000 0.500 0.500
Tl1 0.500 0.000 0.500
O1 0.171 0.500 0.325
O2 0.191 0.000 0.688
O3 0.809 0.000 0.312
O4 0.829 0.500 0.675

***

In μB/cell, the total moment values for the records above are, in order, 10.000; 6.000; 2.000; 5.000; 2.166; 0.048; 5.000; 3.000.